Nd8Ir3AuBr4, optimized geometry, DFT PBE; total magnetization = 0.0 Bohr magnetons per cell; energy = -5.74 eV per atom
1.0
-2.1093 -5.8802 -5.6521
6.2082 -5.6996 3.6127
-5.8455 3.1497 5.1831
Nd Ir Br Au
8 3 4 1
direct
0.2396 0.6972 0.4793
0.7603 0.3028 0.0421
0.7182 0.6972 0.9579
0.7604 0.3028 0.5207
0.2397 0.6972 0.9579
0.2818 0.3028 0.0421
0.2678 0.3039 0.5356
0.7322 0.6961 0.4644
0.0000 0.5000 0.5000
0.5000 0.5000 0.5000
0.5000 0.5000 0.0000
0.0000 0.0000 0.5000
0.0000 0.0000 0.0000
0.5000 0.0000 0.5000
0.5000 0.0000 0.0000
0.0000 0.5000 0.0000

IrPbAu2Br, optimized geometry, DFT PBE; total magnetization = 3.1 Bohr magnetons per cell; energy = -2.73 eV per atom
1.0
5.3207 0.0000 0.0000
0.0000 5.7421 0.0000
0.0000 0.0000 5.3207
Ir Pb Au Br
1 1 2 1
direct
0.5000 0.5000 0.5000
0.0000 0.0000 0.0000
0.5000 0.0000 0.0000
0.0000 0.0000 0.5000
0.0000 0.5000 0.0000

Pm6Ir2AuBr3, optimized geometry, DFT PBE; total magnetization = 0.0 Bohr magnetons per cell; energy = -5.63 eV per atom
1.0
-1.0215 -6.7178 -2.5935
6.4937 3.2083 -0.6615
0.3343 -1.7883 7.8872
Pm Ir Br Au
6 2 3 1
direct
0.2863 0.2863 0.8023
0.0661 0.4179 0.1981
0.5821 0.9339 0.8019
0.7137 0.7137 0.1977
0.4179 0.0661 0.1981
0.9339 0.5821 0.8019
0.6667 0.3333 0.0000
0.3333 0.6667 0.0000
0.8316 0.1684 0.5000
0.5000 0.5000 0.5000
0.1684 0.8316 0.5000
0.0000 0.0000 0.0000